# ThTiSi2 | the Alexandria database | PBE-GGA | relaxed
data_ThTiSi2
_chemical_formula_sum 'Th3 Ti3 Si6'
_cell_length_a 4.2857
_cell_length_b 4.2857
_cell_length_c 15.4759
_cell_angle_alpha 90.00
_cell_angle_beta 90.00
_cell_angle_gamma 120.00
_symmetry_space_group_name_H-M 'R -3 m'
_symmetry_Int_Tables_number 166
_symmetry_space_group_name_Hall '-R 3 2"'
loop_
_atom_site_label
_atom_site_type_symbol
_atom_site_fract_x
_atom_site_fract_y
_atom_site_fract_z
Th1 Th 0.0000 0.0000 0.0000
Ti1 Ti 0.0000 0.0000 0.5000
Si1 Si 0.0000 0.0000 0.2234
# Formation energy from raw total energies ... -529 meV/atom
# Spin magnetization ... 0.00 μB per formula unit

***

# ThTiSi2W | the Alexandria database | PBE-GGA | relaxed
data_ThTiSi2W
_chemical_formula_sum 'Th2 Ti2 Si4 W2'
_cell_length_a 4.048
_cell_length_b 4.048
_cell_length_c 11.365
_cell_angle_alpha 90.00
_cell_angle_beta 90.00
_cell_angle_gamma 90.00
_symmetry_space_group_name_H-M 'I -4 m 2'
_symmetry_Int_Tables_number 119
_symmetry_space_group_name_Hall 'I -4 -2'
loop_
_atom_site_label
_atom_site_type_symbol
_atom_site_fract_x
_atom_site_fract_y
_atom_site_fract_z
Th1 Th 0.000 0.000 0.000
Ti1 Ti 0.000 0.500 0.750
Si1 Si 0.000 0.000 0.391
W1 W 0.000 0.500 0.250
# Formation energy from raw total energies ... -613 meV/atom
# Spin magnetization ... 0.00 μB per formula unit

***

# ThTlSi | the Alexandria database | PBE-GGA | relaxed
data_ThTlSi
_chemical_formula_sum 'Th4 Tl4 Si4'
_cell_length_a 4.504
_cell_length_b 17.961
_cell_length_c 3.849
_cell_angle_alpha 90.00
_cell_angle_beta 90.00
_cell_angle_gamma 90.00
_symmetry_space_group_name_H-M 'C m c m'
_symmetry_Int_Tables_number 63
_symmetry_space_group_name_Hall '-C 2c 2'
loop_
_atom_site_label
_atom_site_type_symbol
_atom_site_fract_x
_atom_site_fract_y
_atom_site_fract_z
Th1 Th 0.000 0.089 0.250
Tl1 Tl 0.000 0.275 0.750
Si1 Si 0.000 0.458 0.250
# Formation energy from raw total energies ... -331 meV/atom
# Spin magnetization ... 0.00 μB per formula unit

***

# Th5Tl2Si2 | the Alexandria database | PBE-GGA | relaxed
data_Th5Tl2Si2
_chemical_formula_sum 'Th20 Tl8 Si8'
_cell_length_a 16.431
_cell_length_b 7.820
_cell_length_c 7.884
_cell_angle_alpha 90.00
_cell_angle_beta 90.00
_cell_angle_gamma 90.00
_symmetry_space_group_name_H-M 'C m c e'
_symmetry_Int_Tables_number 64
_symmetry_space_group_name_Hall '-C 2ac 2'
loop_
_atom_site_label
_atom_site_type_symbol
_atom_site_fract_x
_atom_site_fract_y
_atom_site_fract_z
Th1 Th 0.000 0.000 0.000
Th2 Th 0.121 0.188 0.316
Tl1 Tl 0.225 0.000 0.000
Si1 Si 0.000 0.110 0.613
# Formation energy from raw total energies ... -395 meV/atom
# Spin magnetization ... 0.00 μB per formula unit

***

# TmThSi2 | the Alexandria database | PBE-GGA | relaxed
data_TmThSi2
_chemical_formula_sum 'Tm3 Th3 Si6'
_cell_length_a 4.5756
_cell_length_b 4.5756
_cell_length_c 15.8392
_cell_angle_alpha 90.00
_cell_angle_beta 90.00
_cell_angle_gamma 120.00
_symmetry_space_group_name_H-M 'R -3 m'
_symmetry_Int_Tables_number 166
_symmetry_space_group_name_Hall '-R 3 2"'
loop_
_atom_site_label
_atom_site_type_symbol
_atom_site_fract_x
_atom_site_fract_y
_atom_site_fract_z
Tm1 Tm 0.0000 0.0000 0.0000
Th1 Th 0.0000 0.0000 0.5000
Si1 Si 0.0000 0.0000 0.2609
# Formation energy from raw total energies ... -531 meV/atom
# Spin magnetization ... 0.00 μB per formula unit

***

# TmThSi | the Alexandria database | PBE-GGA | relaxed
data_TmThSi
_chemical_formula_sum 'Tm4 Th4 Si4'
_cell_length_a 6.893
_cell_length_b 6.893
_cell_length_c 6.893
_cell_angle_alpha 90.00
_cell_angle_beta 90.00
_cell_angle_gamma 90.00
_symmetry_space_group_name_H-M 'F -4 3 m'
_symmetry_Int_Tables_number 216
_symmetry_space_group_name_Hall 'F -4 2 3'
loop_
_atom_site_label
_atom_site_type_symbol
_atom_site_fract_x
_atom_site_fract_y
_atom_site_fract_z
Tm1 Tm 0.000 0.000 0.000
Th1 Th 0.000 0.000 0.500
Si1 Si 0.250 0.250 0.750
# Formation energy from raw total energies ... -317 meV/atom
# Spin magnetization ... 0.00 μB per formula unit